Entry 1:
Compound: Ba3HfBe
Source: Alexandria via LeMat-Bulk
Functional: PBE
Structure: optimized geometry

Cell: 6.107 6.107 6.107 Å, 90.00 90.00 90.00°
Last column: magnetic moment on the atom in μB.
Fractional positions:
Ba: 0.000 0.500 0.000  0.03
Ba: 0.500 0.000 0.000  0.04
Ba: 0.000 0.000 0.500  0.06
Be: 0.000 0.000 0.000  -0.11
Hf: 0.500 0.500 0.500  1.23

## Properties
Excess energy over the best structure of this formula in the dataset   0.000 eV/atom
Total magnetic moment   0.532 μB per atom
DFT total energy   -2.875 eV per atom
Energy of formation from the pure elements   5.1 eV per formula unit

=====

Entry 2:
Compound: Hg2RhW
Source: Alexandria via LeMat-Bulk
Functional: PBE
Structure: optimized geometry

Cell: 5.106 5.106 5.106 Å, 132.16 132.16 69.97°
Last column: magnetic moment on the atom in μB.
Fractional positions:
Rh: 0.500 0.500 0.000  0.37
Hg: 0.250 0.750 0.500  0.03
Hg: 0.750 0.250 0.500  0.03
W: 0.000 0.000 0.000  1.17

## Properties
Excess energy over the best structure of this formula in the dataset   0.519 eV/atom
Total magnetic moment   0.457 μB per atom
DFT total energy   -4.477 eV per atom
Energy of formation from the pure elements   3.0 eV per formula unit

=====

Entry 3:
Compound: LiHg2Mo
Source: Alexandria via LeMat-Bulk
Functional: PBE
Structure: optimized geometry

Cell: 5.394 5.394 5.394 Å, 135.75 135.75 64.37°
Last column: magnetic moment on the atom in μB.
Fractional positions:
Li: 0.500 0.500 0.000  0.01
Hg: 0.000 0.000 0.000  0.04
Hg: 0.250 0.750 0.500  -0.01
Mo: 0.750 0.250 0.500  1.66

## Properties
Excess energy over the best structure of this formula in the dataset   0.299 eV/atom
Total magnetic moment   0.501 μB per atom
DFT total energy   -2.846 eV per atom
Energy of formation from the pure elements   2.0 eV per formula unit

=====

Entry 4:
Compound: KCo2HgBr8
Source: Alexandria via LeMat-Bulk
Functional: PBE
Structure: optimized geometry

Cell: 6.784 6.784 10.610 Å, 71.36 71.36 60.00°
Last column: magnetic moment on the atom in μB.
Fractional positions:
Br: 0.939 0.601 0.173  0.16
Br: 0.827 0.827 0.518  0.21
Br: 0.061 0.399 0.827  0.16
Br: 0.287 0.939 0.173  0.16
Br: 0.713 0.061 0.827  0.16
Br: 0.399 0.713 0.827  0.16
Br: 0.173 0.173 0.482  0.21
Br: 0.601 0.287 0.173  0.16
Hg: 0.000 0.000 0.000  0.01
Co: 0.749 0.749 0.753  2.46
Co: 0.251 0.251 0.247  2.46
K: 0.500 0.500 0.500  0.00

## Properties
Total magnetic moment   0.583 μB per atom
ΔE_f (raw)   -0.54 eV per atom
DFT total energy   -2.953 eV per atom

=====

Entry 5:
Compound: Na2InSn6
Source: Alexandria via LeMat-Bulk
Functional: PBE
Structure: optimized geometry

Cell: 3.536 8.630 8.630 Å, 78.46 77.86 77.86°
Fractional positions:
Na: 0.087 0.691 0.691
Na: 0.468 0.309 0.309
Sn: 0.778 0.651 0.348
Sn: 0.432 0.657 0.033
Sn: 0.123 0.345 0.966
Sn: 0.778 0.348 0.651
Sn: 0.123 0.966 0.345
Sn: 0.432 0.033 0.657
In: 0.779 0.001 0.001

## Properties
Total magnetic moment   0.000 μB per atom
DFT total energy   -3.317 eV per atom
Energy of formation from the pure elements   -0.5 eV per formula unit

=====

Entry 6:
Compound: Ir2C
Source: Alexandria via LeMat-Bulk
Functional: PBE
Structure: optimized geometry

Cell: 5.113 5.113 5.113 Å, 149.20 149.20 44.11°
Fractional positions:
C: 0.500 0.500 0.000
Ir: 0.140 0.140 0.000
Ir: 0.860 0.860 0.000

## Properties
Excess energy over the best structure of this formula in the dataset   0.534 eV/atom
Total magnetic moment   0.000 μB per atom
DFT total energy   -7.890 eV per atom
Energy of formation from the pure elements   3.3 eV per formula unit

=====

Entry 7:
Compound: InIrI
Source: Alexandria via LeMat-Bulk
Functional: PBE
Structure: optimized geometry

Cell: 5.410 7.041 8.175 Å, 90.00 90.00 90.00°
Fractional positions:
In: 0.000 0.500 0.824
In: 0.000 0.500 0.248
In: 0.000 0.000 0.748
In: 0.000 0.000 0.324
Ir: 0.000 0.197 0.036
Ir: 0.000 0.697 0.536
Ir: 0.000 0.303 0.536
Ir: 0.000 0.803 0.036
I: 0.500 0.746 0.038
I: 0.500 0.246 0.538
I: 0.500 0.754 0.538
I: 0.500 0.254 0.038

## Properties
Excess energy over the best structure of this formula in the dataset   0.131 eV/atom
Total magnetic moment   0.000 μB per atom
ΔE_f (raw)   0.12 eV per atom
DFT total energy   -4.263 eV per atom

=====

Entry 8:
Compound: CdGa2Se2
Source: Alexandria via LeMat-Bulk
Functional: PBE
Structure: optimized geometry

Cell: 4.767 4.767 6.861 Å, 69.67 69.67 90.00°
Fractional positions:
Cd: 0.000 0.000 0.000
Se: 0.654 0.654 0.693
Se: 0.346 0.346 0.307
Ga: 0.750 0.250 0.500
Ga: 0.250 0.750 0.500

## Properties
Excess energy over the best structure of this formula in the dataset   0.013 eV/atom
Total magnetic moment   0.000 μB per atom
ΔE_f (raw)   -0.12 eV per atom
DFT total energy   -2.907 eV per atom

=====

Entry 9:
Compound: Re2HgSe
Source: Alexandria via LeMat-Bulk
Functional: PBE
Structure: optimized geometry

Cell: 2.968 2.959 9.504 Å, 63.59 90.00 90.00°
Fractional positions:
Re: 0.000 0.996 0.041
Re: 0.500 0.227 0.236
Hg: 0.500 0.853 0.791
Se: 0.000 0.424 0.432

## Properties
Excess energy over the best structure of this formula in the dataset   0.000 eV/atom
Total magnetic moment   0.000 μB per atom
ΔE_f (raw)   0.33 eV per atom
DFT total energy   -6.845 eV per atom

=====

Entry 10:
Compound: Tl2VAg
Source: Alexandria via LeMat-Bulk
Functional: PBE
Structure: optimized geometry

Cell: 4.936 4.936 4.936 Å, 60.00 60.00 60.00°
Last column: magnetic moment on the atom in μB.
Fractional positions:
Ag: 0.500 0.500 0.500  -0.02
Tl: 0.750 0.750 0.750  -0.02
Tl: 0.250 0.250 0.250  -0.02
V: 0.000 0.000 0.000  2.60

## Properties
Excess energy over the best structure of this formula in the dataset   0.000 eV/atom
Total magnetic moment   0.729 μB per atom
DFT total energy   -3.704 eV per atom
Energy of formation from the pure elements   1.9 eV per formula unit

=====

Entry 11:
Compound: ScCuRe2
Source: Alexandria via LeMat-Bulk
Functional: PBE
Structure: optimized geometry

Cell: 5.295 5.295 5.295 Å, 145.08 131.99 60.73°
Fractional positions:
Cu: 0.750 0.250 0.500
Sc: 0.250 0.750 0.500
Re: 0.506 0.506 0.000
Re: 0.994 0.994 0.000

## Properties
Excess energy over the best structure of this formula in the dataset   0.172 eV/atom
Total magnetic moment   0.000 μB per atom
DFT total energy   -8.708 eV per atom
Energy of formation from the pure elements   0.5 eV per formula unit

=====

Entry 12:
Compound: BRh4
Source: Alexandria via LeMat-Bulk
Functional: PBE
Structure: optimized geometry

Cell: 4.068 4.068 4.068 Å, 90.00 90.00 90.00°
Last column: magnetic moment on the atom in μB.
Fractional positions:
Rh: 0.000 0.500 0.500  0.07
Rh: 0.000 0.000 0.000  0.05
Rh: 0.500 0.500 0.000  0.07
Rh: 0.500 0.000 0.500  0.07
B: 0.500 0.500 0.500  0.00

## Properties
Excess energy over the best structure of this formula in the dataset   0.162 eV/atom
Total magnetic moment   0.051 μB per atom
DFT total energy   -7.094 eV per atom
Energy of formation from the pure elements   0.6 eV per formula unit